{"formula": "CaAgIN2", "functional": "GGA-PBE", "state": "relaxed", "dft_energy_ev_per_cell": -17.630, "n_ef_per_ev_atom": 0.398, "cell": [[4.3443, 0.0000, 0.0000], [0.0000, 4.3443, 0.0000], [0.0000, 0.0000, 5.8519]], "species": ["Ag", "N", "N", "I", "Ca"], "frac_coords": [[0.0000, 0.0000, 0.0000], [0.5000, 0.0000, 0.0000], [0.0000, 0.5000, 0.0000], [0.0000, 0.0000, 0.5000], [0.5000, 0.5000, 0.5000]]}



{"formula": "Na3CaAg3I8", "functional": "GGA-PBE", "state": "relaxed", "dft_energy_ev_per_cell": -40.117, "n_ef_per_ev_atom": 0.000, "cell": [[8.8959, 0.0000, 0.0000], [-4.4479, 7.7542, -0.0142], [0.0000, -5.1317, 7.4453]], "species": ["I", "I", "I", "I", "I", "I", "I", "I", "Na", "Na", "Na", "Ca", "Ag", "Ag", "Ag"], "frac_coords": [[0.2556, 0.0057, 0.2599], [0.2499, 0.9943, 0.7401], [0.7434, 0.4868, 0.7257], [0.7501, 0.0057, 0.2599], [0.7527, 0.5054, 0.2624], [0.2473, 0.4946, 0.7376], [0.2566, 0.5132, 0.2743], [0.7444, 0.9943, 0.7401], [0.0000, 0.5000, 0.0000], [0.5000, 0.5000, 0.0000], [0.0000, 0.0000, 0.0000], [0.0000, 0.0000, 0.5000], [0.5000, 0.0000, 0.5000], [0.0000, 0.5000, 0.5000], [0.5000, 0.5000, 0.5000]]}



{"formula": "Ca2AgIO6", "functional": "GGA-PBE", "state": "relaxed", "dft_energy_ev_per_cell": -52.920, "cell": [[5.8007, 0.0001, 0.0003], [2.9004, 5.0235, 0.0000], [2.9003, 1.6747, 5.1971]], "species": ["Ag", "I", "O", "O", "O", "O", "O", "O", "Ca", "Ca"], "frac_coords": [[0.7564, 0.7564, 0.7308], [0.3309, 0.3309, 0.0074], [0.5467, 0.2606, 0.2002], [0.6793, 0.1593, 0.7712], [0.3902, 0.6793, 0.7712], [0.1593, 0.3902, 0.7712], [0.9925, 0.5467, 0.2002], [0.2606, 0.9925, 0.2002], [0.5331, 0.5331, 0.4008], [0.0126, 0.0126, 0.9621]]}



{"formula": "Ca2Ag2IO6", "functional": "GGA-PBE", "state": "relaxed", "dft_energy_ev_per_cell": -54.712, "n_ef_per_ev_atom": 0.336, "cell": [[5.9333, -0.1400, 0.7724], [-3.0543, 5.0887, 0.7724], [-0.3853, -0.6623, 6.3910]], "species": ["O", "O", "O", "O", "O", "O", "Ag", "Ag", "Ca", "Ca", "I"], "frac_coords": [[0.0352, 0.7396, 0.3260], [0.2604, 0.9648, 0.6740], [0.9648, 0.2604, 0.6740], [0.6901, 0.6901, 0.6586], [0.7396, 0.0352, 0.3260], [0.3099, 0.3099, 0.3414], [0.1480, 0.8520, 0.0000], [0.8520, 0.1480, 0.0000], [0.6634, 0.3366, 0.5000], [0.3366, 0.6634, 0.5000], [0.0000, 0.0000, 0.5000]]}



| no. | formation energy (no corrections) (meV per atom) |
| --- | --- |
| 1 | 1085 |
| 2 | -880 |
| 3 | -1477 |
| 4 | -1246 |